[1]
Al4Zn4P8H13N3O32 | meta-GGA SCAN | PBEsol geometry

Lattice parameters (Å, degrees): 8.791 9.420 9.486 90.23 96.83 98.31
Fractional coordinates of all 64 atoms:
Al 0.000 0.000 0.000
Al 0.165 0.517 0.366
Al 0.497 0.884 0.114
Al 0.716 0.747 0.733
Zn 0.040 0.088 0.445
Zn 0.236 0.623 0.863
Zn 0.563 0.359 0.219
Zn 0.657 0.269 0.631
P 0.007 0.389 0.614
P 0.070 0.869 0.712
P 0.139 0.743 0.129
P 0.204 0.230 0.208
P 0.513 0.522 0.506
P 0.592 0.609 0.994
P 0.650 0.023 0.868
P 0.694 0.095 0.340
H 0.234 0.384 0.738
H 0.284 0.917 0.533
H 0.373 0.776 0.492
H 0.427 0.938 0.420
H 0.475 0.911 0.595
H 0.738 0.652 0.354
H 0.787 0.405 0.018
H 0.816 0.835 0.349
H 0.869 0.732 0.486
H 0.870 0.367 0.872
H 0.927 0.292 0.030
H 0.928 0.706 0.327
H 0.975 0.471 0.005
N 0.389 0.887 0.509
N 0.836 0.730 0.377
N 0.890 0.381 0.982
O 0.023 0.851 0.110
O 0.033 0.241 0.577
O 0.033 0.497 0.494
O 0.073 0.973 0.839
O 0.083 0.164 0.082
O 0.106 0.624 0.014
O 0.107 0.948 0.577
O 0.118 0.672 0.275
O 0.142 0.370 0.251
O 0.147 0.439 0.744
O 0.193 0.770 0.739
O 0.207 0.127 0.333
O 0.303 0.822 0.130
O 0.349 0.566 0.459
O 0.360 0.267 0.154
O 0.434 0.573 0.905
O 0.496 0.390 0.598
O 0.517 0.983 0.960
O 0.558 0.979 0.273
O 0.591 0.732 0.103
O 0.594 0.502 0.374
O 0.603 0.656 0.588
O 0.633 0.907 0.747
O 0.644 0.170 0.808
O 0.644 0.480 0.072
O 0.655 0.125 0.489
O 0.713 0.229 0.249
O 0.716 0.659 0.894
O 0.804 0.014 0.963
O 0.840 0.020 0.344
O 0.858 0.403 0.676
O 0.904 0.781 0.684

Total DFT energy (no corrections)   -571.8 eV for the cell shown

---

[2]
HfBiSe2Br | meta-GGA SCAN | PBEsol geometry

Lattice parameters (Å, degrees): 5.138 5.138 5.085 90.00 90.00 90.00
Fractional coordinates of all 5 atoms:
Hf 0.000 0.000 0.000
Bi 0.500 0.500 0.500
Se 0.000 0.500 0.000
Se 0.500 0.000 0.000
Br 0.000 0.000 0.500

Total DFT energy (no corrections)   -203.1 eV for the cell shown

---

[3]
Na2V3O7 | meta-GGA SCAN | PBEsol geometry

Lattice parameters (Å, degrees): 10.891 10.891 9.454 90.00 90.00 120.00
Fractional coordinates of all 72 atoms:
Na 0.000 0.000 0.000
Na 0.000 0.000 0.500
Na 0.021 0.510 0.250
Na 0.333 0.667 0.567
Na 0.333 0.667 0.933
Na 0.490 0.510 0.250
Na 0.490 0.979 0.250
Na 0.510 0.021 0.750
Na 0.510 0.490 0.750
Na 0.667 0.333 0.067
Na 0.667 0.333 0.433
Na 0.979 0.490 0.750
V 0.119 0.802 0.402
V 0.120 0.317 0.099
V 0.157 0.313 0.750
V 0.157 0.843 0.750
V 0.197 0.880 0.099
V 0.198 0.317 0.402
V 0.313 0.157 0.250
V 0.317 0.120 0.599
V 0.317 0.198 0.902
V 0.683 0.803 0.099
V 0.683 0.881 0.402
V 0.687 0.843 0.750
V 0.802 0.119 0.902
V 0.803 0.683 0.599
V 0.843 0.157 0.250
V 0.843 0.687 0.250
V 0.880 0.197 0.599
V 0.881 0.683 0.902
O 0.040 0.295 0.289
O 0.040 0.744 0.211
O 0.072 0.244 0.566
O 0.072 0.828 0.934
O 0.155 0.479 0.063
O 0.155 0.676 0.437
O 0.172 0.244 0.934
O 0.172 0.928 0.566
O 0.243 0.487 0.750
O 0.244 0.072 0.066
O 0.244 0.172 0.434
O 0.244 0.757 0.750
O 0.255 0.960 0.289
O 0.256 0.296 0.211
O 0.295 0.040 0.789
O 0.296 0.256 0.711
O 0.324 0.479 0.437
O 0.324 0.845 0.063
O 0.479 0.155 0.563
O 0.479 0.324 0.937
O 0.487 0.243 0.250
O 0.513 0.756 0.750
O 0.521 0.676 0.063
O 0.521 0.845 0.437
O 0.676 0.155 0.937
O 0.676 0.521 0.563
O 0.704 0.960 0.211
O 0.705 0.745 0.289
O 0.744 0.040 0.711
O 0.745 0.705 0.789
O 0.756 0.513 0.250
O 0.756 0.828 0.566
O 0.756 0.928 0.934
O 0.757 0.244 0.250
O 0.828 0.072 0.434
O 0.828 0.756 0.066
O 0.845 0.324 0.563
O 0.845 0.521 0.937
O 0.928 0.172 0.066
O 0.928 0.756 0.434
O 0.960 0.255 0.789
O 0.960 0.704 0.711

Total DFT energy (no corrections)   -810.2 eV for the cell shown

---

[4]
YSiOs | meta-GGA SCAN | PBEsol geometry

Lattice parameters (Å, degrees): 5.741 5.741 5.741 148.43 148.43 45.25
Fractional coordinates of all 3 atoms:
Y 0.000 0.000 0.000
Si 0.702 0.702 0.000
Os 0.306 0.306 0.000

Total DFT energy (no corrections)   -111.4 eV for the cell shown

---

> The lowest total DFT energy (no corrections) belongs to which entry?

Na2V3O7

---

Repeat the third record exactly.
Na2V3O7 | meta-GGA SCAN | PBEsol geometry

Lattice parameters (Å, degrees): 10.891 10.891 9.454 90.00 90.00 120.00
Fractional coordinates of all 72 atoms:
Na 0.000 0.000 0.000
Na 0.000 0.000 0.500
Na 0.021 0.510 0.250
Na 0.333 0.667 0.567
Na 0.333 0.667 0.933
Na 0.490 0.510 0.250
Na 0.490 0.979 0.250
Na 0.510 0.021 0.750
Na 0.510 0.490 0.750
Na 0.667 0.333 0.067
Na 0.667 0.333 0.433
Na 0.979 0.490 0.750
V 0.119 0.802 0.402
V 0.120 0.317 0.099
V 0.157 0.313 0.750
V 0.157 0.843 0.750
V 0.197 0.880 0.099
V 0.198 0.317 0.402
V 0.313 0.157 0.250
V 0.317 0.120 0.599
V 0.317 0.198 0.902
V 0.683 0.803 0.099
V 0.683 0.881 0.402
V 0.687 0.843 0.750
V 0.802 0.119 0.902
V 0.803 0.683 0.599
V 0.843 0.157 0.250
V 0.843 0.687 0.250
V 0.880 0.197 0.599
V 0.881 0.683 0.902
O 0.040 0.295 0.289
O 0.040 0.744 0.211
O 0.072 0.244 0.566
O 0.072 0.828 0.934
O 0.155 0.479 0.063
O 0.155 0.676 0.437
O 0.172 0.244 0.934
O 0.172 0.928 0.566
O 0.243 0.487 0.750
O 0.244 0.072 0.066
O 0.244 0.172 0.434
O 0.244 0.757 0.750
O 0.255 0.960 0.289
O 0.256 0.296 0.211
O 0.295 0.040 0.789
O 0.296 0.256 0.711
O 0.324 0.479 0.437
O 0.324 0.845 0.063
O 0.479 0.155 0.563
O 0.479 0.324 0.937
O 0.487 0.243 0.250
O 0.513 0.756 0.750
O 0.521 0.676 0.063
O 0.521 0.845 0.437
O 0.676 0.155 0.937
O 0.676 0.521 0.563
O 0.704 0.960 0.211
O 0.705 0.745 0.289
O 0.744 0.040 0.711
O 0.745 0.705 0.789
O 0.756 0.513 0.250
O 0.756 0.828 0.566
O 0.756 0.928 0.934
O 0.757 0.244 0.250
O 0.828 0.072 0.434
O 0.828 0.756 0.066
O 0.845 0.324 0.563
O 0.845 0.521 0.937
O 0.928 0.172 0.066
O 0.928 0.756 0.434
O 0.960 0.255 0.789
O 0.960 0.704 0.711

Total DFT energy (no corrections)   -810.2 eV for the cell shown

---

> Look up the total DFT energy (no corrections) of the third one.

-810.2 eV for the cell shown